Below is an optimized crystal structure of SbO2, with properties calculated at the PBE level.

Lattice parameters (Å, degrees): 3.4031 3.4031 11.4502 90.00 90.00 120.00
Closest atoms and distances in Å follow each position.
Fractional coordinates of all 6 atoms:
Sb1 0.0000 0.0000 0.0000  6 O 2.18
Sb2 0.0000 0.0000 0.5000  6 O 2.18
O1 0.3333 0.6667 0.0834  3 Sb 2.18
O2 0.3333 0.6667 0.4166  3 Sb 2.18
O3 0.6667 0.3333 0.5834  3 Sb 2.18
O4 0.6667 0.3333 0.9166  3 Sb 2.18

Computed properties:
Magnetization: 0.00 μB/atom
V: 19.140 Å³ per atom
Raw formation energy: -0.981 eV per atom

Below is an optimized crystal structure of SbO2, with properties calculated at the PBE level.

Lattice parameters (Å, degrees): 5.5968 10.5444 6.0181 90.00 90.00 90.00
Closest atoms and distances in Å follow each position.
Fractional coordinates of all 24 atoms:
Sb1 0.0921 0.2500 0.2500  2 O 2.05
Sb2 0.2500 0.0000 0.6539  6 O 1.96-2.13
Sb3 0.2500 0.5000 0.8461  6 O 1.96-2.13
Sb4 0.4079 0.7500 0.2500  2 O 2.05
Sb5 0.5921 0.2500 0.7500  2 O 2.05
Sb6 0.7500 0.0000 0.3461  6 O 1.96-2.13
Sb7 0.7500 0.5000 0.1539  6 O 1.96-2.13
Sb8 0.9079 0.7500 0.7500  2 O 2.05
O1 0.0227 0.6150 0.0452  2 Sb 2.06-2.13
O2 0.0227 0.8850 0.4548  2 Sb 2.06-2.13
O3 0.1483 0.6235 0.6208  2 Sb 1.96-2.05
O4 0.1483 0.8765 0.8792  2 Sb 1.96-2.05
O5 0.3517 0.1235 0.8792  2 Sb 1.96-2.05
O6 0.3517 0.3765 0.6208  2 Sb 1.96-2.05
O7 0.4773 0.1150 0.4548  2 Sb 2.06-2.13
O8 0.4773 0.3850 0.0452  2 Sb 2.06-2.13
O9 0.5227 0.6150 0.9548  2 Sb 2.06-2.13
O10 0.5227 0.8850 0.5452  2 Sb 2.06-2.13
O11 0.6483 0.6235 0.3792  2 Sb 1.96-2.05
O12 0.6483 0.8765 0.1208  2 Sb 1.96-2.05
O13 0.8517 0.1235 0.1208  2 Sb 1.96-2.05
O14 0.8517 0.3765 0.3792  2 Sb 1.96-2.05
O15 0.9773 0.1150 0.5452  2 Sb 2.06-2.13
O16 0.9773 0.3850 0.9548  2 Sb 2.06-2.13

Computed properties:
Magnetization: 0.00 μB/atom
V: 14.798 Å³ per atom
Raw formation energy: -1.268 eV per atom

Below is an optimized crystal structure of SbO3, with properties calculated at the PBE level.

Lattice parameters (Å, degrees): 5.5105 4.7219 10.3460 90.00 121.43 90.00
Closest atoms and distances in Å follow each position.
Fractional coordinates of all 16 atoms:
Sb1 0.1482 0.0362 0.4028  6 O 1.97-2.05
Sb2 0.1482 0.4638 0.9028  6 O 1.97-2.05
Sb3 0.8518 0.5362 0.0972  6 O 1.97-2.05
Sb4 0.8518 0.9638 0.5972  6 O 1.97-2.05
O1 0.0954 0.7461 0.0369  2 Sb 2.01-2.05
O2 0.0954 0.7539 0.5369  2 Sb 2.01-2.05
O3 0.1590 0.1471 0.7814  2 Sb 1.97
O4 0.1590 0.3529 0.2814  2 Sb 1.97
O5 0.4765 0.6770 0.9154  2 Sb 2.01-2.05
O6 0.4765 0.8230 0.4154  2 Sb 2.01-2.05
O7 0.5235 0.1770 0.5846  2 Sb 2.01-2.05
O8 0.5235 0.3230 0.0846  2 Sb 2.01-2.05
O9 0.8410 0.6471 0.7186  2 Sb 1.97
O10 0.8410 0.8529 0.2186  2 Sb 1.97
O11 0.9046 0.2461 0.4631  2 Sb 2.01-2.05
O12 0.9046 0.2539 0.9631  2 Sb 2.01-2.05

Computed properties:
E above lowest polymorph: 22 meV per atom
Magnetization: 0.25 μB/atom
V: 14.356 Å³ per atom
Raw formation energy: -0.786 eV per atom

Below is an optimized crystal structure of SbO2, with properties calculated at the PBE level.

Lattice parameters (Å, degrees): 3.7919 3.7919 11.1981 90.00 90.00 120.00
Closest atoms and distances in Å follow each position.
Fractional coordinates of all 6 atoms:
Sb1 0.3333 0.6667 0.2500  2 O 1.86
Sb2 0.6667 0.3333 0.7500  2 O 1.86
O1 0.3333 0.6667 0.0841  1 Sb 1.86
O2 0.3333 0.6667 0.4159  1 Sb 1.86
O3 0.6667 0.3333 0.5841  1 Sb 1.86
O4 0.6667 0.3333 0.9159  1 Sb 1.86

Computed properties:
Magnetization: 0.00 μB/atom
V: 23.240 Å³ per atom
Raw formation energy: 0.333 eV per atom

Below is an optimized crystal structure of SbO2, with properties calculated at the PBE level.

Lattice parameters (Å, degrees): 5.1341 5.8571 5.5117 90.00 90.00 90.00
Closest atoms and distances in Å follow each position.
Fractional coordinates of all 12 atoms:
Sb1 0.0000 0.1642 0.2500  6 O 2.14-2.20
Sb2 0.0000 0.8358 0.7500  6 O 2.14-2.20
Sb3 0.5000 0.3358 0.7500  6 O 2.14-2.20
Sb4 0.5000 0.6642 0.2500  6 O 2.14-2.20
O1 0.2125 0.1091 0.5794  3 Sb 2.14-2.20
O2 0.2125 0.8909 0.0794  3 Sb 2.14-2.20
O3 0.2875 0.3909 0.0794  3 Sb 2.14-2.20
O4 0.2875 0.6091 0.5794  3 Sb 2.14-2.20
O5 0.7125 0.3909 0.4206  3 Sb 2.14-2.20
O6 0.7125 0.6091 0.9206  3 Sb 2.14-2.20
O7 0.7875 0.1091 0.9206  3 Sb 2.14-2.20
O8 0.7875 0.8909 0.4206  3 Sb 2.14-2.20

Computed properties:
Magnetization: 0.00 μB/atom
V: 13.812 Å³ per atom
Raw formation energy: -1.212 eV per atom

Below is an optimized crystal structure of Sb2O3, with properties calculated at the PBE level.

Lattice parameters (Å, degrees): 5.4506 5.4506 9.3841 105.25 105.25 45.78
Closest atoms and distances in Å follow each position.
Fractional coordinates of all 10 atoms:
Sb1 0.1086 0.6186 0.8625  2 O 1.95-2.02
Sb2 0.3814 0.8914 0.6375  2 O 1.95-2.02
Sb3 0.6186 0.1086 0.3625  2 O 1.95-2.02
Sb4 0.8914 0.3814 0.1375  2 O 1.95-2.02
O1 0.0666 0.5571 0.3093  3 Sb 2.02-2.21
O2 0.2459 0.7541 0.7500  2 Sb 1.95
O3 0.4429 0.9334 0.1907  3 Sb 2.02-2.21
O4 0.5571 0.0666 0.8093  3 Sb 2.02-2.21
O5 0.7541 0.2459 0.2500  2 Sb 1.95
O6 0.9334 0.4429 0.6907  3 Sb 2.02-2.21

Computed properties:
Magnetization: 0.00 μB/atom
V: 19.147 Å³ per atom
Raw formation energy: -1.289 eV per atom

Below is an optimized crystal structure of Sb4O, with properties calculated at the PBE level.

Lattice parameters (Å, degrees): 4.8703 4.8703 4.8703 90.00 90.00 90.00
Closest atoms and distances in Å follow each position.
Fractional coordinates of all 5 atoms:
Sb1 0.0000 0.0000 0.0000  12 Sb 3.44
Sb2 0.0000 0.5000 0.5000  2 O 2.44
Sb3 0.5000 0.0000 0.5000  2 O 2.44
Sb4 0.5000 0.5000 0.0000  2 O 2.44
O1 0.5000 0.5000 0.5000  6 Sb 2.44

Computed properties:
Magnetization: 0.00 μB/atom
V: 23.104 Å³ per atom
Raw formation energy: 0.032 eV per atom

Below is an optimized crystal structure of SbO2, with properties calculated at the PBE level.

Lattice parameters (Å, degrees): 7.4444 7.4444 7.4444 60.00 60.00 60.00
Closest atoms and distances in Å follow each position.
Fractional coordinates of all 24 atoms:
Sb1 0.2461 0.7513 0.7513  3 O 2.02
Sb2 0.2487 0.2487 0.2487  3 O 2.02
Sb3 0.2487 0.2487 0.7539  3 O 2.02
Sb4 0.2487 0.7539 0.2487  3 O 2.02
Sb5 0.7513 0.2461 0.7513  3 O 2.02
Sb6 0.7513 0.7513 0.2461  3 O 2.02
Sb7 0.7513 0.7513 0.7513  3 O 2.02
Sb8 0.7539 0.2487 0.2487  3 O 2.02
O1 0.0000 0.0000 0.0000  6 Sb 2.62, 6 O 2.65
O2 0.0000 0.0000 0.5000  6 Sb 2.62, 6 O 2.65
O3 0.0000 0.5000 0.0000  6 Sb 2.62, 6 O 2.65
O4 0.1793 0.1793 0.5707  2 Sb 2.02
O5 0.1793 0.5707 0.1793  2 Sb 2.02
O6 0.1793 0.5707 0.5707  2 Sb 2.02
O7 0.4293 0.4293 0.8207  2 Sb 2.02
O8 0.4293 0.8207 0.4293  2 Sb 2.02
O9 0.4293 0.8207 0.8207  2 Sb 2.02
O10 0.5000 0.0000 0.0000  6 Sb 2.62, 6 O 2.65
O11 0.5707 0.1793 0.1793  2 Sb 2.02
O12 0.5707 0.1793 0.5707  2 Sb 2.02
O13 0.5707 0.5707 0.1793  2 Sb 2.02
O14 0.8207 0.4293 0.4293  2 Sb 2.02
O15 0.8207 0.4293 0.8207  2 Sb 2.02
O16 0.8207 0.8207 0.4293  2 Sb 2.02

Computed properties:
Magnetization: 0.00 μB/atom
V: 12.155 Å³ per atom
Raw formation energy: -0.912 eV per atom

Below is an optimized crystal structure of SbO2, with properties calculated at the PBE level.

Lattice parameters (Å, degrees): 5.6386 5.6386 11.0168 90.00 90.00 145.85
Closest atoms and distances in Å follow each position.
Fractional coordinates of all 12 atoms:
Sb1 0.1333 0.8667 0.5759  4 O 1.98-2.22
Sb2 0.1333 0.8667 0.9241  4 O 1.98-2.22
Sb3 0.8667 0.1333 0.0759  4 O 1.98-2.22
Sb4 0.8667 0.1333 0.4241  4 O 1.98-2.22
O1 0.0873 0.9127 0.7500  2 Sb 1.98
O2 0.2470 0.7530 0.0921  3 Sb 2.11-2.22
O3 0.2470 0.7530 0.4080  3 Sb 2.11-2.22
O4 0.5000 0.5000 0.0000  4 Sb 2.35
O5 0.5000 0.5000 0.5000  4 Sb 2.35
O6 0.7530 0.2470 0.5920  3 Sb 2.11-2.22
O7 0.7530 0.2470 0.9080  3 Sb 2.11-2.22
O8 0.9127 0.0873 0.2500  2 Sb 1.98

Computed properties:
Magnetization: 0.00 μB/atom
V: 16.385 Å³ per atom
Raw formation energy: -1.092 eV per atom